# 1
CdSiI2N | GGA-PBE | relaxed

Calculated values
Relative energy among the computed polymorphs ... 852.9 meV per atom
Total energy ... -2.48 eV/atom
Crystal system ... tetragonal
DOS(E_F) ... 2.9 states/eV/cell
ρ ... 4.4 g/cm3
ΔE_f (raw) ... 1.08 eV/atom

Cell lengths 6.039, 6.039, 4.187 Å; angles 90.00, 90.00, 90.00 degrees
Space group P4/mmm (No. 123)
Symmetry-distinct sites (fractional):
Cd1 0.000 0.000 0.000 [1 per cell]
Si1 0.500 0.500 0.500 [1 per cell]
I1 0.000 0.500 0.000 [2 per cell]
N1 0.000 0.000 0.500 [1 per cell]


# 2
CdSiI2N | GGA-PBE | relaxed

Calculated values
Relative energy among the computed polymorphs ... 0.0 meV per atom
Total energy ... -3.33 eV/atom
Crystal system ... tetragonal
DOS(E_F) ... 2.6 states/eV/cell
ρ ... 5.3 g/cm3
ΔE_f (raw) ... 0.22 eV/atom

Cell lengths 6.207, 6.207, 3.312 Å; angles 90.00, 90.00, 90.00 degrees
Space group P4/mmm (No. 123)
Symmetry-distinct sites (fractional):
Cd1 0.000 0.000 0.000 [1 per cell]
Si1 0.500 0.500 0.500 [1 per cell]
I1 0.000 0.500 0.500 [2 per cell]
N1 0.500 0.500 0.000 [1 per cell]


# 3
CdSnIN2 | GGA-PBE | relaxed

Calculated values
Relative energy among the computed polymorphs ... 0.0 meV per atom
Total energy ... -3.46 eV/atom
Crystal system ... tetragonal
DOS(E_F) ... 3.5 states/eV/cell
ρ ... 5.4 g/cm3
ΔE_f (raw) ... 1.16 eV/atom

Cell lengths 4.153, 4.153, 6.872 Å; angles 90.00, 90.00, 90.00 degrees
Space group P4/mmm (No. 123)
Symmetry-distinct sites (fractional):
Cd1 0.000 0.000 0.000 [1 per cell]
Sn1 0.500 0.500 0.500 [1 per cell]
I1 0.500 0.500 0.000 [1 per cell]
N1 0.000 0.500 0.500 [2 per cell]


# 4
CdSnI2N | GGA-PBE | relaxed

Calculated values
Relative energy among the computed polymorphs ... 0.0 meV per atom
Total energy ... -2.79 eV/atom
Crystal system ... tetragonal
DOS(E_F) ... 4.4 states/eV/cell
ρ ... 5.6 g/cm3
ΔE_f (raw) ... 0.48 eV/atom

Cell lengths 6.169, 6.169, 3.919 Å; angles 90.00, 90.00, 90.00 degrees
Space group P4/mmm (No. 123)
Symmetry-distinct sites (fractional):
Cd1 0.000 0.000 0.000 [1 per cell]
Sn1 0.500 0.500 0.500 [1 per cell]
I1 0.000 0.500 0.500 [2 per cell]
N1 0.500 0.500 0.000 [1 per cell]